BaHoZn: optimized geometry, PBE.

Cell: 3.8289 3.8289 13.5165 Å, 90.00 90.00 90.00°
Fractional coordinates of all 6 atoms:
1 Ba 0.0000 0.0000 0.0000
2 Ba 0.5000 0.5000 0.5000
3 Ho 0.0000 0.0000 0.2703
4 Ho 0.5000 0.5000 0.7703
5 Zn 0.0000 0.0000 0.6746
6 Zn 0.5000 0.5000 0.1746

Computed properties:
- Energy of formation from the pure elements: -0.08 eV/atom
- Magnetic moment: 0.0 μB/cell
- Crystal system: tetragonal

---

Sc5Pd4Ru: optimized geometry, PBE.

Cell: 3.2644 3.2644 16.6722 Å, 90.00 90.00 90.00°
Fractional coordinates of all 10 atoms:
1 Sc 0.0000 0.0000 0.0000
2 Sc 0.0000 0.0000 0.2039
3 Sc 0.0000 0.0000 0.4072
4 Sc 0.0000 0.0000 0.5928
5 Sc 0.0000 0.0000 0.7961
6 Pd 0.5000 0.5000 0.1027
7 Pd 0.5000 0.5000 0.3028
8 Pd 0.5000 0.5000 0.6972
9 Pd 0.5000 0.5000 0.8973
10 Ru 0.5000 0.5000 0.5000

Computed properties:
- Energy of formation from the pure elements: -0.87 eV/atom
- Magnetic moment: 0.0 μB/cell
- Crystal system: tetragonal

---

ZrVRe3: optimized geometry, PBE.

Cell: 4.7379 4.7379 4.7379 Å, 90.00 90.00 90.00°
Fractional coordinates of all 5 atoms:
1 Zr 0.0000 0.0000 0.0000
2 V 0.5000 0.5000 0.5000
3 Re 0.0000 0.0000 0.5000
4 Re 0.0000 0.5000 0.0000
5 Re 0.5000 0.0000 0.0000

Computed properties:
- Energy of formation from the pure elements: 2.59 eV/atom
- Magnetic moment: 1.3 μB/cell
- Crystal system: cubic

---

DyCd3Pt2: optimized geometry, PBE.

Cell: 8.6219 8.6219 8.6219 Å, 153.76 112.89 73.39°
Fractional coordinates of all 12 atoms:
1 Dy 0.1315 0.1315 0.0000
2 Dy 0.8685 0.8685 0.0000
3 Cd 0.1211 0.3274 0.7938
4 Cd 0.3533 0.0000 0.3533
5 Cd 0.4664 0.6726 0.7938
6 Cd 0.5336 0.3274 0.2062
7 Cd 0.6467 0.0000 0.6467
8 Cd 0.8789 0.6726 0.2062
9 Pt 0.1418 0.5000 0.6418
10 Pt 0.2910 0.7910 0.5000
11 Pt 0.7090 0.2090 0.5000
12 Pt 0.8582 0.5000 0.3582

Computed properties:
- Energy of formation from the pure elements: -0.58 eV/atom
- Magnetic moment: 0.0 μB/cell
- Crystal system: orthorhombic